The following is a DFT calculation (PBE-GGA) of a geometry-optimized Na2NiP2Pd structure.

abc: 7.5441 7.5441 7.5441
angles: 134.48 66.59 134.16
Closest atoms and distances in Å follow each position.
Fractional positions:
Na: 0.1752 0.2461 0.4213  5 P 2.97-3.24, 2 Pd 3.02, 2 Ni 3.04
Na: 0.3248 0.7461 0.0709  5 P 2.97-3.24, 2 Pd 3.02, 2 Ni 3.04
Na: 0.6752 0.2539 0.9291  5 P 2.97-3.24, 2 Pd 3.02, 2 Ni 3.04
Na: 0.8248 0.7539 0.5787  5 P 2.97-3.24, 2 Pd 3.02, 2 Ni 3.04
Ni: 0.2500 0.7500 0.5000  4 P 2.27
Ni: 0.7500 0.2500 0.5000  4 P 2.27
P: 0.0897 0.7236 0.8133  2 Ni 2.27, 2 Pd 2.46
P: 0.4103 0.2236 0.6339  2 Ni 2.27, 2 Pd 2.46
P: 0.5897 0.7764 0.3661  2 Ni 2.27, 2 Pd 2.46
P: 0.9103 0.2764 0.1867  2 Ni 2.27, 2 Pd 2.46
Pd: 0.2500 0.2500 0.0000  4 P 2.46
Pd: 0.7500 0.7500 0.0000  4 P 2.46

Summary:
ΔE_f: -429 meV per atom
N(E_F): 0.699 states/eV/atom
Theoretical density: 4.192 Mg/m³